(w)
CsTaSe4 after structural relaxation. Source: Alexandria, functional GGA-PBE.

Calculated values
crystal system: monoclinic
DOS(E_F): 7.139 states/eV/cell

POSCAR file:
```
CsTaSe4
1.0
-0.719 5.641 1.691
-5.331 1.090 -5.901
-3.298 -3.088 7.868
Se Ta Cs
8 2 2
Cartesian
-5.318 3.762 -2.161
-3.169 3.323 0.218
-4.030 -0.119 5.819
-4.044 0.827 -4.477
-4.376 2.429 4.402
-4.972 1.214 -0.744
-6.179 0.320 3.440
-1.287 0.263 -1.425
-3.099 1.964 -2.297
-6.249 1.680 5.955
-2.414 0.208 2.219
-6.934 3.435 1.439
```

***

(x)
CsTaSe4 after structural relaxation. Source: Alexandria, functional GGA-PBE.

Calculated values
crystal system: monoclinic
DOS(E_F): 5.223 states/eV/cell

POSCAR file:
```
CsTaSe4
1.0
6.433 0.086 1.202
2.599 7.926 4.693
0.130 0.491 8.857
Se Cs Ta
8 2 2
Cartesian
3.574 2.086 8.088
6.511 2.687 10.191
0.513 0.753 6.827
5.587 6.417 6.663
8.649 7.751 7.924
2.896 1.356 2.227
6.266 7.147 12.525
2.651 5.816 4.561
3.388 5.516 9.553
5.774 2.987 5.198
4.955 0.557 9.757
4.206 7.946 4.995
```

***

Result of the stability comparison: (x) is the most stable of them.

***

(w)
CsTa4Se8 after structural relaxation. Source: Alexandria, functional GGA-PBE.

Calculated values
crystal system: trigonal
DOS(E_F): 6.022 states/eV/cell

POSCAR file:
```
CsTa4Se8
1.0
-0.096 7.007 -0.392
-5.697 3.551 2.046
1.535 4.055 9.272
Se Ta Cs
8 4 1
Cartesian
-1.319 3.614 2.092
-4.173 5.381 3.113
-2.899 7.496 9.038
-4.222 8.901 2.916
-2.939 10.999 8.834
-0.036 5.712 8.010
-1.359 7.117 1.888
-0.085 9.232 7.813
0.000 0.000 0.000
-0.048 3.503 -0.196
-2.849 1.776 1.023
-2.897 5.279 0.827
-2.129 7.307 5.463
```

***

(x)
CsTa4Se8 after structural relaxation. Source: Alexandria, functional GGA-PBE.

Calculated values
crystal system: monoclinic
DOS(E_F): 5.611 states/eV/cell

POSCAR file:
```
CsTa4Se8
1.0
3.467 0.000 0.751
1.567 9.040 1.141
-0.302 -0.002 9.771
Ta Se Cs
4 8 1
Cartesian
1.446 4.635 1.703
2.437 1.568 5.503
2.429 7.501 5.540
3.421 4.435 9.340
1.570 6.239 9.507
3.297 2.830 1.536
1.965 3.032 7.683
4.434 8.995 4.662
0.432 0.074 6.382
0.927 3.079 4.097
2.902 6.037 3.360
3.939 5.990 6.947
1.499 0.014 9.837
```

***

Result of the stability comparison: (w) is the most stable of them.

***

(w)
CsTb4Se6 after structural relaxation. Source: Alexandria, functional GGA-PBE.

Calculated values
crystal system: tetragonal
DOS(E_F): 3.010 states/eV/cell

POSCAR file:
```
CsTb4Se6
1.0
-4.419 5.652 -2.500
-3.449 -5.603 3.799
4.959 1.720 5.493
Se Tb Cs
6 4 1
Cartesian
0.270 3.686 1.497
-2.813 3.281 -0.221
-0.651 -0.086 3.601
-0.263 -3.782 6.091
2.326 -1.527 6.613
-3.934 0.024 0.649
2.186 -0.157 4.005
-2.124 1.908 2.296
-0.989 -2.923 3.365
-0.473 -0.942 6.417
0.000 0.000 0.000
```

***

(x)
CsTb4Se6 after structural relaxation. Source: Alexandria, functional GGA-PBE.

Calculated values
crystal system: orthorhombic
DOS(E_F): 4.232 states/eV/cell

POSCAR file:
```
CsTb4Se6
1.0
4.177 0.000 0.000
-2.089 6.954 0.000
0.000 0.000 22.237
Tb Se Cs
8 12 2
Cartesian
0.000 5.590 8.211
0.000 1.833 10.250
2.089 5.121 11.987
2.089 1.363 14.026
2.089 5.121 21.368
0.000 5.590 2.908
0.000 1.833 0.868
2.089 1.363 19.329
2.089 0.000 0.000
0.000 3.199 20.465
2.089 3.754 1.772
2.089 1.980 16.678
0.000 4.974 5.559
0.000 0.486 3.283
0.000 0.486 7.835
2.089 0.000 11.118
2.089 6.467 18.954
2.089 6.467 14.401
0.000 3.199 12.890
2.089 3.754 9.346
2.089 2.178 5.559
0.000 4.776 16.678
```

***

Result of the stability comparison: (x) is the most stable of them.

***

(w)
CsTb2Se3 after structural relaxation. Source: Alexandria, functional GGA-PBE.

Calculated values
crystal system: orthorhombic
DOS(E_F): 6.170 states/eV/cell

POSCAR file:
```
CsTb2Se3
1.0
-2.733 1.332 -3.514
-5.250 -3.358 5.883
-1.154 10.047 4.705
Tb Cs Se
4 2 6
Cartesian
-7.138 4.983 7.440
0.000 0.000 0.000
-1.999 3.038 -0.366
-0.577 5.023 2.353
-3.699 1.124 3.303
-5.438 6.897 3.771
-2.913 0.476 -0.626
-3.393 4.660 1.334
-6.224 7.544 7.700
-7.457 0.817 3.038
-5.744 3.361 5.741
-1.680 7.204 4.037
```

***

(x)
CsTb2Se3 after structural relaxation. Source: Alexandria, functional GGA-PBE.

Calculated values
crystal system: monoclinic
DOS(E_F): 4.474 states/eV/cell

POSCAR file:
```
CsTb2Se3
1.0
4.177 0.000 0.000
0.000 7.772 0.036
0.000 2.591 10.950
Cs Se Tb
2 6 4
Cartesian
3.133 4.511 1.732
1.044 5.851 9.254
3.133 1.743 3.814
1.044 5.985 4.009
3.133 4.378 6.976
1.044 8.619 7.172
3.133 1.387 0.287
1.044 8.975 10.699
1.044 8.240 2.062
3.133 7.210 5.578
1.044 3.153 5.408
3.133 2.122 8.924
```

***

Result of the stability comparison: (x) is the most stable of them.